Ba3SrFe2O9: optimized geometry, PBE+U.

The space group is P-3m1 (No. 164) and the conventional cell measures 5.8479, 5.8479 and 7.5129 Å, with angles of 90.00, 90.00 and 120.00 degrees. The inequivalent atoms are Ba at (0.0000, 0.0000, 0.0000), Ba at (0.3333, 0.6667, 0.6991), Sr at (0.0000, 0.0000, 0.5000), Fe at (0.3333, 0.6667, 0.1590), O at (0.0000, 0.5000, 0.0000) and O at (0.1808, 0.3615, 0.2971).

The value obtained for the uncorrected energy is -91.53 eV per cell.